Below is a relaxed structure of NaSb6, with properties calculated at the PBE level.

The structure in POSCAR format:
```
NaSb6
1.0
-2.9151 3.2026 5.9289
-4.8796 -4.6430 -2.9219
6.0406 -3.6970 1.9363
Na Sb
1 6
Direct
0.0000 0.0000 0.0000
0.2500 0.7500 0.5000
0.5000 0.7500 0.2500
0.2500 0.5000 0.7500
0.7500 0.2500 0.5000
0.5000 0.2500 0.7500
0.7500 0.5000 0.2500
```

uncorrected energy	-24.31	eV per cell
density	4.11	Mg/m³
symmetry	No. 229